1.
VASP calculation (GGA-PBE) on a relaxed structure of SrMoSeN2.

**Symmetry**: P4/mmm
**ΔE_f (raw)**: 11.1 eV per formula unit
**Calculated volume**: 19.9 Å³ per atom

abc: 4.175 4.175 5.708
angles: 90.00 90.00 90.00
Atoms (fractional coordinates):
Sr  0.000  0.000  0.000
Mo  0.500  0.500  0.500
Se  0.000  0.000  0.500
N  0.000  0.500  0.000
N  0.500  0.000  0.000

=====

2.
VASP calculation (GGA-PBE) on a relaxed structure of NdCdC.

**Symmetry**: P-1
**Formation enthalpy at 0 K**: 1.16 eV per formula unit
**Calculated volume**: 22.8 Å³ per atom

abc: 3.702 3.794 11.281
angles: 84.65 80.81 60.82
Atoms (fractional coordinates):
Nd  0.248  0.192  0.320
Nd  0.752  0.808  0.680
Cd  0.328  0.444  0.897
Cd  0.672  0.556  0.103
C  0.042  0.133  0.778
C  0.958  0.867  0.222

=====

3.
VASP calculation (GGA-PBE) on a relaxed structure of La2Sb3Pd5.

**Symmetry**: Cmc2_1
**ΔE_f (raw)**: -8.2 eV per formula unit
**Calculated volume**: 21.7 Å³ per atom

abc: 13.138 13.138 7.223
angles: 90.00 90.00 159.67
Atoms (fractional coordinates):
La  0.016  0.984  0.500
La  0.325  0.675  0.499
La  0.675  0.325  0.999
La  0.984  0.016  0.000
Sb  0.108  0.892  0.205
Sb  0.279  0.721  0.039
Sb  0.446  0.554  0.296
Sb  0.554  0.446  0.796
Sb  0.721  0.279  0.539
Sb  0.892  0.108  0.705
Pd  0.109  0.891  0.795
Pd  0.209  0.791  0.330
Pd  0.221  0.779  0.737
Pd  0.381  0.619  0.995
Pd  0.449  0.551  0.687
Pd  0.551  0.449  0.187
Pd  0.619  0.381  0.495
Pd  0.779  0.221  0.237
Pd  0.791  0.209  0.830
Pd  0.891  0.109  0.295

=====

4.
VASP calculation (GGA-PBE) on a relaxed structure of SmPuCu2.

**Symmetry**: R-3m
**Formation enthalpy at 0 K**: 0.89 eV per formula unit
**Calculated volume**: 24.0 Å³ per atom

abc: 8.055 8.055 8.055
angles: 27.14 27.14 27.14
Atoms (fractional coordinates):
Sm  0.000  0.000  0.000
Pu  0.500  0.500  0.500
Cu  0.250  0.250  0.250
Cu  0.750  0.750  0.750